Entry 1:
VASP calculation (PBE-GGA) on a geometry-optimized LaPPb2 structure.

Cell: 3.8090 3.8090 8.1083 Å, 90.00 90.00 90.00°
With the nearest neighbours (Å) after each atom.
Positions (direct):
La1 0.0000 0.0000 0.5713  4 P 2.91
P1 0.5000 0.5000 0.7088  4 La 2.91
Pb1 0.0000 0.0000 0.9820  1 La 3.33, 4 Pb 3.40, 4 P 3.49
Pb2 0.5000 0.5000 0.2380  4 Pb 3.40

Calculated values
Mass density, g/cm³: 8.25
V, Å³ per cell: 117.64
Uncorrected energy, eV per atom: -4.861
Symmetry: P4mm

Entry 2:
VASP calculation (PBE-GGA) on a geometry-optimized La2P2Pb5 structure.

Cell: 4.3460 10.9047 12.1014 Å, 90.00 90.00 90.00°
With the nearest neighbours (Å) after each atom.
Positions (direct):
Pb1 0.5000 0.0229 0.7456  1 P 2.71
Pb2 0.5000 0.9771 0.2544  1 P 2.71
Pb3 0.5000 0.4771 0.2456  1 P 2.71
Pb4 0.5000 0.5229 0.7544  1 P 2.71
Pb5 0.0000 0.6199 0.9326  3 Pb 3.08-3.24, 2 La 3.30-3.45
Pb6 0.0000 0.3801 0.0674  3 Pb 3.08-3.24, 2 La 3.30-3.45
Pb7 0.0000 0.8801 0.4326  3 Pb 3.08-3.24, 2 La 3.30-3.45
Pb8 0.0000 0.1199 0.5674  3 Pb 3.08-3.24, 2 La 3.30-3.45
Pb9 0.0000 0.0000 0.0000  4 P 3.11
Pb10 0.0000 0.5000 0.5000  4 P 3.11
P1 0.5000 0.3179 0.4180  1 Pb 2.71, 2 La 2.85
P2 0.5000 0.6821 0.5820  1 Pb 2.71, 2 La 2.85
P3 0.5000 0.1821 0.9180  1 Pb 2.71, 2 La 2.85
P4 0.5000 0.8179 0.0820  1 Pb 2.71, 2 La 2.85
La1 0.0000 0.2843 0.7960  2 P 2.85
La2 0.0000 0.7157 0.2040  2 P 2.85
La3 0.0000 0.2157 0.2960  2 P 2.85
La4 0.0000 0.7843 0.7040  2 P 2.85

Calculated values
Mass density, g/cm³: 7.97
V, Å³ per cell: 573.51
Uncorrected energy, eV per atom: -4.676
Symmetry: Pbam

Entry 3:
VASP calculation (PBE-GGA) on a geometry-optimized LaPPb2 structure.

Cell: 4.0988 4.0988 6.5488 Å, 90.00 90.00 90.00°
With the nearest neighbours (Å) after each atom.
Positions (direct):
La1 0.5000 0.5000 0.2500  2 P 3.27, 8 Pb 3.43
P1 0.5000 0.5000 0.7500  8 Pb 3.24, 2 La 3.27
Pb1 0.0000 0.0000 0.9708  1 Pb 2.89
Pb2 0.0000 0.0000 0.5292  1 Pb 2.89

Calculated values
Mass density, g/cm³: 8.82
V, Å³ per cell: 110.02
Uncorrected energy, eV per atom: -4.551
Symmetry: P4/mmm

Entry 4:
VASP calculation (PBE-GGA) on a geometry-optimized LaPPb2 structure.

Cell: 8.8856 8.8856 8.8856 Å, 26.85 26.85 26.85°
With the nearest neighbours (Å) after each atom.
Positions (direct):
La1 0.4811 0.4811 0.4811  3 P 2.87
P1 0.7520 0.7520 0.7520  3 La 2.87, 3 Pb 2.96
Pb1 0.0170 0.0170 0.0170  3 P 2.96
Pb2 0.2499 0.2499 0.2499  3 Pb 3.51, 3 La 3.54

Calculated values
Mass density, g/cm³: 7.69
V, Å³ per cell: 126.17
Uncorrected energy, eV per atom: -4.845
Symmetry: R3m

Entry 5:
VASP calculation (PBE-GGA) on a geometry-optimized LaPPb2 structure.

Cell: 4.4428 6.6862 4.4391 Å, 70.98 88.95 109.03°
With the nearest neighbours (Å) after each atom.
Positions (direct):
La1 0.0000 0.5000 0.5000  4 P 3.11-3.17, 4 Pb 3.36
P1 0.5000 0.5000 0.0000  4 La 3.11-3.17, 4 Pb 3.36
Pb1 0.0000 0.0000 0.0000  4 Pb 3.11-3.17, 2 P 3.36, 2 La 3.36
Pb2 0.5000 0.0000 0.5000  4 Pb 3.11-3.17, 2 La 3.36, 2 P 3.36

Calculated values
Mass density, g/cm³: 8.31
V, Å³ per cell: 116.70
Uncorrected energy, eV per atom: -4.856
Symmetry: Fmmm

Entry 6:
VASP calculation (PBE-GGA) on a geometry-optimized LaPPb2 structure.

Cell: 5.7241 5.7241 5.7241 Å, 129.73 129.73 73.84°
With the nearest neighbours (Å) after each atom.
Positions (direct):
La1 0.5000 0.5000 0.0000  8 Pb 3.34-3.44, 4 P 3.34
P1 0.7500 0.2500 0.5000  4 La 3.34, 8 Pb 3.34-3.44
Pb1 0.0000 0.0000 0.0000  4 P 3.34, 4 Pb 3.34, 4 La 3.44
Pb2 0.2500 0.7500 0.5000  4 Pb 3.34, 4 La 3.34, 4 P 3.44

Calculated values
Mass density, g/cm³: 8.97
V, Å³ per cell: 108.22
Uncorrected energy, eV per atom: -4.752
Symmetry: I-4m2

Entry 7:
VASP calculation (PBE-GGA) on a geometry-optimized LaPPb2 structure.

Cell: 3.6171 3.6171 9.6072 Å, 90.00 90.00 113.82°
With the nearest neighbours (Å) after each atom.
Positions (direct):
La1 0.5000 0.5000 0.2500  4 Pb 3.43, 4 La 3.62
P1 0.5000 0.5000 0.7500  4 Pb 2.81
Pb1 0.0000 0.0000 0.9576  2 P 2.81
Pb2 0.0000 0.0000 0.5424  2 P 2.81

Calculated values
Mass density, g/cm³: 8.44
V, Å³ per cell: 114.99
Uncorrected energy, eV per atom: -4.307
Symmetry: Cmmm

Entry 8:
VASP calculation (PBE-GGA) on a geometry-optimized La2P2Pb structure.

Cell: 8.0548 8.0548 3.9864 Å, 90.00 90.00 90.00°
With the nearest neighbours (Å) after each atom.
Positions (direct):
Pb1 0.0000 0.0000 0.0000  4 P 3.05
Pb2 0.5000 0.5000 0.0000  4 P 3.05
P1 0.3466 0.8466 0.0000  6 La 2.98-3.17, 2 Pb 3.05
P2 0.8466 0.6534 0.0000  6 La 2.98-3.17, 2 Pb 3.05
P3 0.6534 0.1534 0.0000  6 La 2.98-3.17, 2 Pb 3.05
P4 0.1534 0.3466 0.0000  6 La 2.98-3.17, 2 Pb 3.05
La1 0.1525 0.6525 0.5000  6 P 2.98-3.17
La2 0.6525 0.8475 0.5000  6 P 2.98-3.17
La3 0.8475 0.3475 0.5000  6 P 2.98-3.17
La4 0.3475 0.1525 0.5000  6 P 2.98-3.17

Calculated values
Mass density, g/cm³: 7.02
V, Å³ per cell: 258.63
Uncorrected energy, eV per atom: -5.934
Symmetry: P4/mbm

Entry 9:
VASP calculation (PBE-GGA) on a geometry-optimized LaP2Pb2 structure.

Cell: 5.4430 5.4430 6.0965 Å, 63.49 63.49 90.00°
With the nearest neighbours (Å) after each atom.
Positions (direct):
Pb1 0.3411 0.3411 0.3178  4 P 2.85, 1 Pb 3.01
Pb2 0.6589 0.6589 0.6822  4 P 2.85, 1 Pb 3.01
P1 0.7500 0.2500 0.5000  4 Pb 2.85
P2 0.2500 0.7500 0.5000  4 Pb 2.85
La1 0.0000 0.0000 0.0000  2 Pb 3.23, 8 P 3.60

Calculated values
Mass density, g/cm³: 7.29
V, Å³ per cell: 140.07
Uncorrected energy, eV per atom: -4.744
Symmetry: I4/mmm

Entry 10:
VASP calculation (PBE-GGA) on a geometry-optimized LaPPb2 structure.

Cell: 4.4734 4.4695 5.4162 Å, 90.00 90.00 90.00°
With the nearest neighbours (Å) after each atom.
Positions (direct):
La1 0.5000 0.0000 0.5000  4 P 3.16, 8 Pb 3.51
P1 0.0000 0.5000 0.5000  4 La 3.16, 8 Pb 3.51
Pb1 0.0000 0.0000 0.0000  4 Pb 3.16, 4 P 3.51, 4 La 3.51
Pb2 0.5000 0.5000 0.0000  4 Pb 3.16, 4 La 3.51, 4 P 3.51

Calculated values
Mass density, g/cm³: 8.96
V, Å³ per cell: 108.29
Uncorrected energy, eV per atom: -4.855
Symmetry: P4/mmm

Entry 11:
VASP calculation (PBE-GGA) on a geometry-optimized LaP2Pb2 structure.

Cell: 8.2848 8.2848 3.8204 Å, 90.00 90.00 90.00°
With the nearest neighbours (Å) after each atom.
Positions (direct):
Pb1 0.3702 0.8702 0.0000  2 P 2.79, 1 Pb 3.04
Pb2 0.8702 0.6298 0.0000  2 P 2.79, 1 Pb 3.04
Pb3 0.6298 0.1298 0.0000  2 P 2.79, 1 Pb 3.04
Pb4 0.1298 0.3702 0.0000  2 P 2.79, 1 Pb 3.04
P1 0.1970 0.6970 0.5000  2 Pb 2.79
P2 0.6970 0.8030 0.5000  2 Pb 2.79
P3 0.8030 0.3030 0.5000  2 Pb 2.79
P4 0.3030 0.1970 0.5000  2 Pb 2.79
La1 0.0000 0.0000 0.0000  4 Pb 3.25, 8 P 3.55
La2 0.5000 0.5000 0.0000  4 Pb 3.25, 8 P 3.55

Calculated values
Mass density, g/cm³: 7.79
V, Å³ per cell: 262.22
Uncorrected energy, eV per atom: -4.678
Symmetry: P4/mbm

Entry 12:
VASP calculation (PBE-GGA) on a geometry-optimized LaP2Pb structure.

Cell: 6.1900 6.1900 4.3188 Å, 89.99 89.99 37.64°
With the nearest neighbours (Å) after each atom.
Positions (direct):
La1 0.7301 0.7301 0.8748  6 P 2.97-3.16
P1 0.0214 0.0214 0.8751  4 Pb 2.97, 2 La 3.16
P2 0.2632 0.2632 0.3748  1 Pb 2.60
Pb1 0.4853 0.4853 0.3752  1 P 2.60

Calculated values
Mass density, g/cm³: 6.71
V, Å³ per cell: 101.06
Uncorrected energy, eV per atom: -5.493
Symmetry: Amm2

Entry 13:
VASP calculation (PBE-GGA) on a geometry-optimized LaP2Pb structure.

Cell: 6.0720 4.1981 4.1961 Å, 90.00 90.00 90.00°
With the nearest neighbours (Å) after each atom.
Positions (direct):
La1 0.5000 0.8756 0.8749  6 P 2.97-3.04
P1 0.0000 0.8746 0.8749  4 Pb 2.97, 2 La 3.04
P2 0.5000 0.3755 0.3749  4 La 2.97, 2 Pb 3.04
Pb1 0.0000 0.3743 0.3753  6 P 2.97-3.04

Calculated values
Mass density, g/cm³: 6.33
V, Å³ per cell: 106.96
Uncorrected energy, eV per atom: -5.478
Symmetry: Pmm2

Entry 14:
VASP calculation (PBE-GGA) on a geometry-optimized LaPPd2Pb structure.

Cell: 4.9447 6.0138 4.9447 Å, 90.00 90.00 90.00°
With the nearest neighbours (Å) after each atom.
Positions (direct):
Pb1 0.0000 0.0000 0.0000  4 Pd 2.47
P1 0.5000 0.5000 0.5000  4 La 3.50, 8 Pd 3.89
Pd1 0.0000 0.0000 0.5000  2 Pb 2.47
Pd2 0.5000 0.0000 0.0000  2 Pb 2.47
La1 0.0000 0.5000 0.0000  2 Pb 3.01

Calculated values
Mass density, g/cm³: 6.66
V, Å³ per cell: 147.04
Uncorrected energy, eV per atom: -4.349
Symmetry: P4/mmm

Entry 15:
VASP calculation (PBE-GGA) on a geometry-optimized LaP2Pd7Pb2 structure.

Cell: 4.6070 4.6070 11.4356 Å, 86.48 86.48 97.56°
With the nearest neighbours (Å) after each atom.
Positions (direct):
La1 0.0000 0.0000 0.0000  10 Pd 3.04-3.40, 2 P 3.08
P1 0.6807 0.6807 0.8056  6 Pd 2.33-2.39
P2 0.3193 0.3193 0.1944  6 Pd 2.33-2.39
Pd1 0.5000 0.5000 0.0000  2 P 2.39
Pd2 0.3666 0.3666 0.3964  1 P 2.35
Pd3 0.6334 0.6334 0.6036  1 P 2.35
Pd4 0.8390 0.4280 0.2057  2 P 2.33-2.39
Pd5 0.4280 0.8390 0.2057  2 P 2.33-2.39
Pd6 0.5720 0.1610 0.7943  2 P 2.33-2.39
Pd7 0.1610 0.5720 0.7943  2 P 2.33-2.39
Pb1 0.8673 0.8673 0.3790  5 Pd 2.82-3.06
Pb2 0.1327 0.1327 0.6210  5 Pd 2.82-3.06

Calculated values
Mass density, g/cm³: 9.43
V, Å³ per cell: 239.56
Uncorrected energy, eV per atom: -5.471
Symmetry: C2/m

Entry 16:
VASP calculation (PBE-GGA) on a geometry-optimized LaP2Pt7Pb2 structure.

Cell: 4.0277 4.0277 15.5588 Å, 82.54 82.54 89.95°
With the nearest neighbours (Å) after each atom.
Positions (direct):
La1 0.0000 0.0000 0.0000  12 Pt 2.85-3.08
P1 0.6170 0.6170 0.7646  5 Pt 2.27-2.38
P2 0.3830 0.3830 0.2354  5 Pt 2.27-2.38
Pt1 0.5000 0.5000 0.0000  4 La 2.85, 8 Pt 3.08-3.09
Pt2 0.3087 0.3087 0.3840  1 P 2.27
Pt3 0.6913 0.6913 0.6160  1 P 2.27
Pt4 0.9242 0.4238 0.1527  2 P 2.38
Pt5 0.4238 0.9242 0.1527  2 P 2.38
Pt6 0.5762 0.0758 0.8473  2 P 2.38
Pt7 0.0758 0.5762 0.8473  2 P 2.38
Pb1 0.7882 0.7882 0.4234  5 Pt 2.91-2.95
Pb2 0.2118 0.2118 0.5766  5 Pt 2.91-2.95

Calculated values
Mass density, g/cm³: 13.26
V, Å³ per cell: 248.12
Uncorrected energy, eV per atom: -6.005
Symmetry: I4/mmm

Entry 17:
VASP calculation (PBE-GGA) on a geometry-optimized La2P3Rh12Pb structure.

Cell: 7.3896 7.3896 7.3896 Å, 67.94 67.94 67.94°
With the nearest neighbours (Å) after each atom.
Positions (direct):
La1 0.6018 0.6018 0.6018  6 Rh 2.76-3.01
La2 0.3982 0.3982 0.3982  6 Rh 2.76-3.01
P1 0.5000 0.0000 0.0000  6 Rh 2.25-2.28
P2 0.0000 0.5000 0.0000  6 Rh 2.25-2.28
P3 0.0000 0.0000 0.5000  6 Rh 2.25-2.28
Rh1 0.3364 0.3364 0.9078  2 P 2.28
Rh2 0.8542 0.8542 0.3943  1 P 2.25
Rh3 0.3943 0.8542 0.8542  1 P 2.25
Rh4 0.9078 0.3364 0.3364  2 P 2.28
Rh5 0.8542 0.3943 0.8542  1 P 2.25
Rh6 0.3364 0.9078 0.3364  2 P 2.28
Rh7 0.6636 0.6636 0.0922  2 P 2.28
Rh8 0.1458 0.1458 0.6057  1 P 2.25
Rh9 0.6057 0.1458 0.1458  1 P 2.25
Rh10 0.0922 0.6636 0.6636  2 P 2.28
Rh11 0.1458 0.6057 0.1458  1 P 2.25
Rh12 0.6636 0.0922 0.6636  2 P 2.28
Pb1 0.0000 0.0000 0.0000  6 Rh 2.64

Calculated values
Mass density, g/cm³: 9.03
V, Å³ per cell: 333.45
Uncorrected energy, eV per atom: -6.780
Symmetry: R-3m

Entry 18:
VASP calculation (PBE-GGA) on a geometry-optimized LaPPbS2 structure.

Cell: 5.1438 5.1438 5.0997 Å, 90.00 90.00 90.00°
With the nearest neighbours (Å) after each atom.
Positions (direct):
Pb1 0.0000 0.0000 0.0000  2 P 2.55, 4 S 2.57
P1 0.0000 0.0000 0.5000  2 Pb 2.55
S1 0.0000 0.5000 0.0000  2 Pb 2.57
S2 0.5000 0.0000 0.0000  2 Pb 2.57
La1 0.5000 0.5000 0.5000  8 S 3.62, 4 P 3.64

Calculated values
Mass density, g/cm³: 5.43
V, Å³ per cell: 134.93
Symmetry: P4/mmm
Formation energy from raw total energies, meV/atom: -257

Entry 19:
VASP calculation (PBE-GGA) on a geometry-optimized LaP2PbS structure.

Cell: 5.4473 5.4473 5.4261 Å, 90.00 90.00 90.00°
With the nearest neighbours (Å) after each atom.
Positions (direct):
Pb1 0.5000 0.5000 0.5000  8 P 3.84, 4 S 3.85
P1 0.0000 0.5000 0.0000  2 La 2.72
P2 0.5000 0.0000 0.0000  2 La 2.72
S1 0.0000 0.0000 0.5000  2 La 2.71
La1 0.0000 0.0000 0.0000  2 S 2.71, 4 P 2.72

Calculated values
Mass density, g/cm³: 4.54
V, Å³ per cell: 161.01
Symmetry: P4/mmm
Formation energy from raw total energies, meV/atom: 228

Entry 20:
VASP calculation (PBE-GGA) on a geometry-optimized LaP2PbS structure.

Cell: 5.0909 5.0909 5.2136 Å, 90.00 90.00 90.00°
With the nearest neighbours (Å) after each atom.
Positions (direct):
Pb1 0.0000 0.0000 0.0000  4 P 2.55, 2 S 2.61
P1 0.0000 0.5000 0.0000  2 Pb 2.55
P2 0.5000 0.0000 0.0000  2 Pb 2.55
S1 0.0000 0.0000 0.5000  2 Pb 2.61
La1 0.5000 0.5000 0.5000  4 S 3.60, 8 P 3.64

Calculated values
Mass density, g/cm³: 5.41
V, Å³ per cell: 135.12
Symmetry: P4/mmm
Formation energy from raw total energies, meV/atom: 82